# 1
A plane-wave DFT calculation with PBE-GGA was carried out for a relaxed Li5Mg2 crystal.

Unit cell a=4.8653 b=4.8653 c=21.1363 alpha=90.00 beta=90.00 gamma=120.00
Space group R-3m (No. 166, hexagonal axes)
Symmetry-distinct sites (fractional):
Li 0.0000 0.0000 0.0000 (multiplicity 3)
Li 0.0000 0.0000 0.2828 (multiplicity 6)
Li 0.0000 0.0000 0.4294 (multiplicity 6)
Mg 0.0000 0.0000 0.1391 (multiplicity 6)

Summary:
Excess energy over the best structure of this formula in the dataset ... 7 kJ/mol of formula units

---

# 2
A plane-wave DFT calculation with PBE-GGA was carried out for a relaxed LiMg7 crystal.

Unit cell a=6.2866 b=6.2866 c=5.2477 alpha=90.00 beta=90.00 gamma=120.00
Space group P-6m2 (No. 187)
Symmetry-distinct sites (fractional):
Li 0.0000 0.0000 0.0000 (multiplicity 1)
Mg 0.0002 0.5001 0.0000 (multiplicity 3)
Mg 0.1658 0.3316 0.5000 (multiplicity 3)
Mg 0.6667 0.3333 0.5000 (multiplicity 1)

Summary:
Excess energy over the best structure of this formula in the dataset ... 0 kJ/mol of formula units

---

# 3
A plane-wave DFT calculation with PBE-GGA was carried out for a relaxed Li4Mg crystal.

Unit cell a=6.0880 b=6.0880 c=5.7315 alpha=90.00 beta=90.00 gamma=90.00
Space group P4/mcc (No. 124)
Symmetry-distinct sites (fractional):
Li 0.1149 0.3042 0.0000 (multiplicity 8)
Mg 0.5000 0.5000 0.2500 (multiplicity 2)

Summary:
Excess energy over the best structure of this formula in the dataset ... 34 kJ/mol of formula units

---

# 4
A plane-wave DFT calculation with PBE-GGA was carried out for a relaxed Li17Mg12 crystal.

Unit cell a=10.7926 b=10.7926 c=10.7926 alpha=90.00 beta=90.00 gamma=90.00
Space group I-43m (No. 217)
Symmetry-distinct sites (fractional):
Li 0.0000 0.0000 0.0000 (multiplicity 2)
Li 0.0515 0.3634 0.6366 (multiplicity 24)
Li 0.1789 0.1789 0.1789 (multiplicity 8)
Mg 0.0963 0.0963 0.7087 (multiplicity 24)

---

Number 1: density 0.96 g/cm³, calculated formation energy -23 meV/atom. Number 2: density 1.64 g/cm³, calculated formation energy -27 meV/atom. Number 3: density 0.81 g/cm³, calculated formation energy 49 meV/atom. Number 4: density 1.08 g/cm³, calculated formation energy 13 meV/atom.